## Co2SO (GGA+U)

Data for crystalline Co2SO at its relaxed geometry.

total DFT energy (no corrections)	-5.353	eV per atom
distance to the lowest polymorph of the same formula	19	meV per atom
density	4.87	g/cm³

a = 5.595 Å, b = 3.329 Å, c = 12.155 Å
α = 90.00°, β = 90.00°, γ = 90.00°
Space group Pnma (No. 62)
One atom of each set of equivalent atoms:
1 Co 0.135 0.250 0.183 (multiplicity 4)
2 Co 0.215 0.750 0.417 (multiplicity 4)
3 S 0.213 0.250 0.573 (multiplicity 4)
4 O 0.214 0.750 0.826 (multiplicity 4)